Record 1
Computed, not measured: Pd3Pt12W after structural relaxation at the PBE-GGA level of DFT.

## Properties
VASP energy	-102.80	eV for the cell shown
space-group type	P4/mmm, No. 123

Lattice parameters (Å, degrees): 3.9610 3.9610 15.8730 90.00 90.00 90.00
Fractional coordinates of all 16 atoms:
1 Pt 0.5000 0.5000 0.2491
2 Pt 0.0000 0.5000 0.3750
3 Pt 0.0000 0.5000 0.6250
4 Pt 0.5000 0.5000 0.5000
5 Pt 0.5000 0.0000 0.3750
6 Pt 0.5000 0.5000 0.7509
7 Pt 0.0000 0.5000 0.8796
8 Pt 0.0000 0.5000 0.1204
9 Pt 0.5000 0.0000 0.6250
10 Pt 0.5000 0.5000 0.0000
11 Pt 0.5000 0.0000 0.8796
12 Pt 0.5000 0.0000 0.1204
13 Pd 0.0000 0.0000 0.7503
14 Pd 0.0000 0.0000 0.2497
15 Pd 0.0000 0.0000 0.5000
16 W 0.0000 0.0000 0.0000

Record 2
Computed, not measured: PdPt8W2 after structural relaxation at the PBE-GGA level of DFT.

## Properties
VASP energy	-81.90	eV for the cell shown
space-group type	C2/m, No. 12

Lattice parameters (Å, degrees): 3.9481 6.2973 7.4232 104.49 105.42 90.00
Fractional coordinates of all 11 atoms:
1 Pt 0.0489 0.7271 0.0978
2 Pt 0.1422 0.1973 0.2843
3 Pt 0.6831 0.9144 0.3662
4 Pt 0.4028 0.5413 0.8057
5 Pt 0.9511 0.2729 0.9022
6 Pt 0.5972 0.4587 0.1943
7 Pt 0.3169 0.0856 0.6338
8 Pt 0.8579 0.8027 0.7157
9 Pd 0.5000 0.0000 0.0000
10 W 0.2262 0.6423 0.4525
11 W 0.7738 0.3577 0.5475

Record 3
Computed, not measured: PdPt3W2 after structural relaxation at the PBE-GGA level of DFT.

## Properties
VASP energy	-99.71	eV for the cell shown
space-group type	Fmmm, No. 69

Lattice parameters (Å, degrees): 5.2119 5.2119 8.9837 115.17 115.17 62.20
Fractional coordinates of all 12 atoms:
1 Pt 0.8394 0.8394 0.1671
2 Pt 0.6724 0.6724 0.8329
3 Pt 0.3276 0.3276 0.1671
4 Pt 0.1606 0.1606 0.8329
5 Pt 0.1746 0.1746 0.3491
6 Pt 0.8254 0.8254 0.6509
7 W 0.7506 0.2494 0.0000
8 W 0.2494 0.7506 0.0000
9 W 0.2500 0.7500 0.5000
10 W 0.7500 0.2500 0.5000
11 Pd 0.3397 0.3397 0.6794
12 Pd 0.6603 0.6603 0.3206

Record 4
Computed, not measured: Pd2Pt5W after structural relaxation at the PBE-GGA level of DFT.

## Properties
polymorph energy (0 for the lowest one)	220	meV/atom
space-group type	I4/mcm, No. 140

Lattice parameters (Å, degrees): 6.8175 6.8175 7.3406 117.67 117.67 90.00
Fractional coordinates of all 16 atoms:
1 Pt 0.3191 0.8191 0.3341
2 Pt 0.5000 0.5000 0.0000
3 Pt 0.4850 0.6809 0.6659
4 Pt 0.6809 0.1809 0.6659
5 Pt 0.8191 0.0150 0.3341
6 Pt 0.0150 0.5150 0.3341
7 Pt 0.9850 0.4850 0.6659
8 Pt 0.1809 0.9850 0.6659
9 Pt 0.5150 0.3191 0.3341
10 Pt 0.0000 0.0000 0.0000
11 W 0.7500 0.7500 0.5000
12 W 0.2500 0.2500 0.5000
13 Pd 0.6432 0.1432 0.0000
14 Pd 0.8568 0.6432 0.0000
15 Pd 0.3568 0.8568 0.0000
16 Pd 0.1432 0.3568 0.0000

Record 5
Computed, not measured: Pd2Pt5W after structural relaxation at the PBE-GGA level of DFT.

## Properties
polymorph energy (0 for the lowest one)	0	meV/atom
space-group type	Fmmm, No. 69

Lattice parameters (Å, degrees): 4.8303 4.8303 6.8284 117.77 117.77 71.50
Fractional coordinates of all 8 atoms:
1 Pt 0.8768 0.3768 0.7536
2 Pt 0.1232 0.6232 0.2464
3 Pt 0.3768 0.8768 0.7536
4 Pt 0.6232 0.1232 0.2464
5 Pt 0.5000 0.5000 0.0000
6 W 0.0000 0.0000 0.0000
7 Pd 0.7544 0.7544 0.5088
8 Pd 0.2456 0.2456 0.4912

Record 6
Computed, not measured: PdPtW after structural relaxation at the PBE-GGA level of DFT.

## Properties
polymorph energy (0 for the lowest one)	370	meV/atom
space-group type	Immm, No. 71

Lattice parameters (Å, degrees): 5.1944 2.7420 7.6194 100.37 109.93 90.00
Fractional coordinates of all 6 atoms:
1 W 0.7537 0.5000 0.0000
2 W 0.2463 0.5000 0.0000
3 Pd 0.6406 0.1406 0.2811
4 Pd 0.3594 0.8594 0.7189
5 Pt 0.8342 0.3342 0.6683
6 Pt 0.1658 0.6658 0.3317

Record 7
Computed, not measured: Pd8Pt2W after structural relaxation at the PBE-GGA level of DFT.

## Properties
VASP energy	-65.50	eV for the cell shown
space-group type	C2/m, No. 12

Lattice parameters (Å, degrees): 4.8150 8.0164 8.0164 38.03 72.09 72.09
Fractional coordinates of all 11 atoms:
1 Pd 0.2888 0.3374 0.8410
2 Pd 0.2888 0.8410 0.3374
3 Pd 0.7112 0.1590 0.6626
4 Pd 0.2187 0.4218 0.4218
5 Pd 0.1084 0.2603 0.2603
6 Pd 0.7112 0.6626 0.1590
7 Pd 0.7813 0.5782 0.5782
8 Pd 0.8916 0.7397 0.7397
9 Pt 0.6991 0.1699 0.1699
10 Pt 0.3009 0.8301 0.8301
11 W 0.0000 0.0000 0.0000

Record 8
Computed, not measured: PdPtW2 after structural relaxation at the PBE-GGA level of DFT.

## Properties
polymorph energy (0 for the lowest one)	9	meV/atom
space-group type	Fm-3m, No. 225

Lattice parameters (Å, degrees): 4.4890 4.4890 4.4890 60.00 60.00 60.00
Fractional coordinates of all 4 atoms:
1 W 0.2500 0.2500 0.2500
2 W 0.7500 0.7500 0.7500
3 Pd 0.0000 0.0000 0.0000
4 Pt 0.5000 0.5000 0.5000

Record 9
Computed, not measured: Pd4Pt5W after structural relaxation at the PBE-GGA level of DFT.

## Properties
VASP energy	-65.16	eV for the cell shown
space-group type	P4/mmm, No. 123

Lattice parameters (Å, degrees): 2.7918 2.7918 19.8863 90.00 90.00 90.00
Fractional coordinates of all 10 atoms:
1 Pd 0.0000 0.0000 0.5994
2 Pd 0.0000 0.0000 0.2006
3 Pd 0.0000 0.0000 0.4006
4 Pd 0.0000 0.0000 0.7994
5 Pt 0.5000 0.5000 0.5000
6 Pt 0.5000 0.5000 0.0963
7 Pt 0.5000 0.5000 0.3012
8 Pt 0.5000 0.5000 0.6988
9 Pt 0.5000 0.5000 0.9037
10 W 0.0000 0.0000 0.0000

Record 10
Computed, not measured: PdPt3W after structural relaxation at the PBE-GGA level of DFT.

## Properties
polymorph energy (0 for the lowest one)	647	meV/atom
space-group type	Pm-3m, No. 221

Lattice parameters (Å, degrees): 4.8050 4.8050 4.8050 90.00 90.00 90.00
Fractional coordinates of all 5 atoms:
1 Pd 0.5000 0.5000 0.5000
2 Pt 0.0000 0.0000 0.5000
3 Pt 0.0000 0.5000 0.0000
4 Pt 0.5000 0.0000 0.0000
5 W 0.0000 0.0000 0.0000

Record 11
Computed, not measured: PdPt2W after structural relaxation at the PBE-GGA level of DFT.

## Properties
polymorph energy (0 for the lowest one)	200	meV/atom
space-group type	Imma, No. 74

Lattice parameters (Å, degrees): 5.5766 5.4979 5.4979 75.45 59.53 59.53
Fractional coordinates of all 8 atoms:
1 Pt 0.7931 0.7069 0.2069
2 Pt 0.2931 0.7069 0.2069
3 Pt 0.7069 0.2931 0.7931
4 Pt 0.2069 0.2931 0.7931
5 W 0.2500 0.2088 0.2912
6 W 0.7500 0.7912 0.7088
7 Pd 0.2500 0.7922 0.7078
8 Pd 0.7500 0.2078 0.2922

Record 12
Computed, not measured: Pd5Pt2W after structural relaxation at the PBE-GGA level of DFT.

## Properties
VASP energy	-104.51	eV for the cell shown
space-group type	Pbam, No. 55

Lattice parameters (Å, degrees): 3.9075 5.6283 11.1866 90.00 90.00 90.00
Fractional coordinates of all 16 atoms:
1 Pd 0.0000 0.9961 0.7437
2 Pd 0.0000 0.5000 0.5000
3 Pd 0.0000 0.4961 0.7563
4 Pd 0.5000 0.2526 0.3756
5 Pd 0.5000 0.7474 0.6244
6 Pd 0.5000 0.7526 0.1244
7 Pd 0.0000 0.0039 0.2563
8 Pd 0.0000 0.0000 0.0000
9 Pd 0.5000 0.2474 0.8756
10 Pd 0.0000 0.5039 0.2437
11 Pt 0.5000 0.2398 0.6188
12 Pt 0.5000 0.7398 0.8812
13 Pt 0.5000 0.2602 0.1188
14 Pt 0.5000 0.7602 0.3812
15 W 0.0000 0.0000 0.5000
16 W 0.0000 0.5000 0.0000

Record 13
Computed, not measured: PdPt4W after structural relaxation at the PBE-GGA level of DFT.

## Properties
polymorph energy (0 for the lowest one)	262	meV/atom
space-group type	P4/mmm, No. 123

Lattice parameters (Å, degrees): 3.8544 3.8560 7.4193 90.00 90.00 90.00
Fractional coordinates of all 6 atoms:
1 Pt 0.0013 0.4973 0.7625
2 Pt 0.5013 0.9973 0.7626
3 Pt 0.5013 0.9973 0.2337
4 Pt 0.0013 0.4973 0.2338
5 Pd 0.0013 0.9973 0.4981
6 W 0.5013 0.4972 0.9981

Record 14
Computed, not measured: Pd5PtW after structural relaxation at the PBE-GGA level of DFT.

## Properties
VASP energy	-88.73	eV for the cell shown
space-group type	C2/c, No. 15

Lattice parameters (Å, degrees): 6.7841 6.7841 5.1390 78.80 78.80 87.74
Fractional coordinates of all 14 atoms:
1 Pd 0.1993 0.3293 0.0618
2 Pd 0.3550 0.9319 0.1931
3 Pd 0.8007 0.6707 0.9382
4 Pd 0.9319 0.3550 0.6931
5 Pd 0.3293 0.1993 0.5618
6 Pd 0.6707 0.8007 0.4382
7 Pd 0.2720 0.7280 0.7500
8 Pd 0.0681 0.6450 0.3069
9 Pd 0.6450 0.0681 0.8069
10 Pd 0.7280 0.2720 0.2500
11 Pt 0.0000 0.0000 0.5000
12 Pt 0.0000 0.0000 0.0000
13 W 0.5498 0.4502 0.7500
14 W 0.4502 0.5498 0.2500

Record 15
Computed, not measured: PdPt2W after structural relaxation at the PBE-GGA level of DFT.

## Properties
polymorph energy (0 for the lowest one)	98	meV/atom
space-group type	R3m, No. 160

Lattice parameters (Å, degrees): 2.8173 2.8173 9.2615 81.25 81.25 60.00
Fractional coordinates of all 4 atoms:
1 Pt 0.0806 0.0806 0.7581
2 Pt 0.2528 0.2528 0.2416
3 Pd 0.5000 0.5000 0.5000
4 W 0.6666 0.6666 0.0003

Record 16
Computed, not measured: PdPt4W after structural relaxation at the PBE-GGA level of DFT.

## Properties
polymorph energy (0 for the lowest one)	0	meV/atom
space-group type	Pmmm, No. 47

Lattice parameters (Å, degrees): 2.7832 4.0008 8.3782 90.00 90.00 90.00
Fractional coordinates of all 6 atoms:
1 Pt 0.0000 0.0000 0.6614
2 Pt 0.0000 0.0000 0.3386
3 Pt 0.5000 0.5000 0.1721
4 Pt 0.5000 0.5000 0.8279
5 Pd 0.0000 0.0000 0.0000
6 W 0.5000 0.5000 0.5000

Record 17
Computed, not measured: Pd3Pt6W after structural relaxation at the PBE-GGA level of DFT.

## Properties
polymorph energy (0 for the lowest one)	264	meV/atom
space-group type	C2/m, No. 12

Lattice parameters (Å, degrees): 7.4390 5.2123 5.2123 60.74 69.95 69.95
Fractional coordinates of all 10 atoms:
1 W 0.5000 0.5000 0.5000
2 Pt 0.6914 0.9303 0.4355
3 Pt 0.6914 0.4355 0.9303
4 Pt 0.3086 0.0697 0.5645
5 Pt 0.3086 0.5645 0.0697
6 Pt 0.9041 0.3666 0.3666
7 Pt 0.0959 0.6334 0.6334
8 Pd 0.3088 0.0690 0.0690
9 Pd 0.6912 0.9310 0.9310
10 Pd 0.0000 0.0000 0.0000

Record 18
Computed, not measured: Pd3Pt6W after structural relaxation at the PBE-GGA level of DFT.

## Properties
polymorph energy (0 for the lowest one)	0	meV/atom
space-group type	P2_1/m, No. 11

Lattice parameters (Å, degrees): 4.6158 10.0493 9.6827 136.25 90.00 90.00
Fractional coordinates of all 20 atoms:
1 Pt 0.7500 0.8977 0.9701
2 Pt 0.2500 0.9027 0.1368
3 Pt 0.2500 0.9066 0.6348
4 Pt 0.7500 0.3038 0.7735
5 Pt 0.7500 0.7008 0.5670
6 Pt 0.7500 0.0973 0.8632
7 Pt 0.2500 0.2992 0.4330
8 Pt 0.2500 0.6962 0.2265
9 Pt 0.7500 0.4922 0.1584
10 Pt 0.2500 0.5078 0.8416
11 Pt 0.7500 0.0934 0.3652
12 Pt 0.2500 0.1023 0.0299
13 W 0.7500 0.7026 0.0674
14 W 0.2500 0.2974 0.9326
15 Pd 0.7500 0.8894 0.4541
16 Pd 0.2500 0.6988 0.7268
17 Pd 0.2500 0.4970 0.3264
18 Pd 0.7500 0.3012 0.2732
19 Pd 0.7500 0.5030 0.6736
20 Pd 0.2500 0.1106 0.5459

Record 19
Computed, not measured: Pd12Pt3W after structural relaxation at the PBE-GGA level of DFT.

## Properties
VASP energy	-94.10	eV for the cell shown
space-group type	P4/mmm, No. 123

Lattice parameters (Å, degrees): 3.9452 3.9452 15.8218 90.00 90.00 90.00
Fractional coordinates of all 16 atoms:
1 Pt 0.0000 0.0000 0.7485
2 Pt 0.0000 0.0000 0.2515
3 Pt 0.0000 0.0000 0.5000
4 Pd 0.0000 0.5000 0.8810
5 Pd 0.5000 0.0000 0.1190
6 Pd 0.5000 0.0000 0.8810
7 Pd 0.0000 0.5000 0.6249
8 Pd 0.0000 0.5000 0.3751
9 Pd 0.5000 0.0000 0.3751
10 Pd 0.0000 0.5000 0.1190
11 Pd 0.5000 0.5000 0.5000
12 Pd 0.5000 0.5000 0.7530
13 Pd 0.5000 0.5000 0.2470
14 Pd 0.5000 0.0000 0.6249
15 Pd 0.5000 0.5000 0.0000
16 W 0.0000 0.0000 0.0000

Record 20
Computed, not measured: Pd9Pt4W after structural relaxation at the PBE-GGA level of DFT.

## Properties
VASP energy	-166.64	eV for the cell shown
space-group type	P6_3/mmc, No. 194

Lattice parameters (Å, degrees): 8.6305 7.8706 7.8706 120.00 90.00 90.00
Fractional coordinates of all 28 atoms:
1 Pt 0.0000 0.0000 0.0000
2 Pt 0.5000 0.0000 0.0000
3 Pt 0.7500 0.8852 0.7705
4 Pt 0.7500 0.8852 0.1148
5 Pt 0.2500 0.1148 0.8852
6 Pt 0.2500 0.7705 0.8852
7 Pt 0.2500 0.1148 0.2295
8 Pt 0.7500 0.2295 0.1148
9 Pd 0.7500 0.9551 0.4776
10 Pd 0.2500 0.4776 0.5224
11 Pd 0.4645 0.7912 0.5823
12 Pd 0.9645 0.2088 0.7912
13 Pd 0.7500 0.5224 0.0449
14 Pd 0.5355 0.5823 0.7912
15 Pd 0.9645 0.5823 0.7912
16 Pd 0.7500 0.5224 0.4776
17 Pd 0.0355 0.7912 0.5823
18 Pd 0.0355 0.4177 0.2088
19 Pd 0.4645 0.4177 0.2088
20 Pd 0.0355 0.7912 0.2088
21 Pd 0.5355 0.2088 0.4177
22 Pd 0.2500 0.4776 0.9551
23 Pd 0.2500 0.0449 0.5224
24 Pd 0.4645 0.7912 0.2088
25 Pd 0.5355 0.2088 0.7912
26 Pd 0.9645 0.2088 0.4177
27 W 0.2500 0.6667 0.3333
28 W 0.7500 0.3333 0.6667

| no. | density of states at the Fermi level (states/eV per cell) |
| --- | --- |
| 1 | 27.48 |
| 2 | 9.98 |
| 3 | 11.15 |
| 4 | 18.11 |
| 5 | 7.33 |
| 6 | 4.61 |
| 7 | 10.04 |
| 8 | 5.84 |
| 9 | 17.38 |
| 10 | 4.11 |
| 11 | 7.56 |
| 12 | 12.79 |
| 13 | 5.74 |
| 14 | 12.46 |
| 15 | 3.08 |
| 16 | 6.17 |
| 17 | 11.46 |
| 18 | 24.43 |
| 19 | 23.60 |
| 20 | 20.27 |